A geometry-optimized Ho3Cd2Pd structure, computed with PBE.

Results
Total moment (μB/f.u.): 0.00
Electronic total energy (eV/atom): -3.97
Formation energy (eV per atom): -0.514

a = 3.627 Å, b = 3.627 Å, c = 11.053 Å
α = 90.00°, β = 90.00°, γ = 90.00°
Fractional coordinates of all 6 atoms:
1 Ho 0.000 0.000 0.000
2 Ho 0.000 0.000 0.650
3 Ho 0.000 0.000 0.350
4 Cd 0.500 0.500 0.829
5 Cd 0.500 0.500 0.171
6 Pd 0.500 0.500 0.500